{
  "formula": "Nd2H3Pb",
  "functional": "PBE",
  "state": "relaxed",
  "cell": [[6.7883, -1.9935, 0.0000], [6.7883, 1.9935, 0.0000], [-3.2558, 0.0000, 7.8176]],
  "species": ["Nd", "Nd", "Nd", "Nd", "H", "H", "H", "H", "H", "H", "Pb", "Pb"],
  "fractional_positions": [[0.0136, 0.0136, 0.2330], [0.3263, 0.3263, 0.3717], [0.6737, 0.6737, 0.6283], [0.9864, 0.9864, 0.7670], [0.0964, 0.0964, 0.6299], [0.1824, 0.1824, 0.4555], [0.4802, 0.4802, 0.6296], [0.5198, 0.5198, 0.3704], [0.8176, 0.8176, 0.5445], [0.9036, 0.9036, 0.3701], [0.3403, 0.3403, 0.9436], [0.6597, 0.6597, 0.0564]],
  "final_energy_ev_per_atom": -4.4364
}

***

{
  "formula": "RbMgAg3",
  "functional": "PBE",
  "state": "relaxed",
  "cell": [[5.8625, 0.0000, 0.0000], [0.0000, 5.8625, 0.0000], [0.0000, 0.0000, 5.8625]],
  "species": ["Rb", "Mg", "Ag", "Ag", "Ag"],
  "fractional_positions": [[0.0000, 0.0000, 0.0000], [0.5000, 0.5000, 0.5000], [0.0000, 0.0000, 0.5000], [0.0000, 0.5000, 0.0000], [0.5000, 0.0000, 0.0000]],
  "relative_energy_ev_per_atom": 0.929,
  "e_form_ev_per_atom": 1.16
}

***

{
  "formula": "Pr3PuNi8",
  "functional": "PBE",
  "state": "relaxed",
  "cell": [[2.5825, 1.4910, 8.4380], [-2.5825, 1.4910, 8.4380], [0.0000, -2.9820, 8.4380]],
  "species": ["Pr", "Pr", "Pr", "Pu", "Ni", "Ni", "Ni", "Ni", "Ni", "Ni", "Ni", "Ni"],
  "fractional_positions": [[0.0000, 0.0000, 0.0000], [0.1261, 0.1261, 0.1261], [0.5051, 0.5051, 0.5051], [0.6284, 0.6284, 0.6284], [0.0624, 0.5649, 0.5649], [0.0668, 0.0668, 0.5633], [0.0668, 0.5633, 0.0668], [0.3141, 0.3141, 0.3141], [0.5633, 0.0668, 0.0668], [0.5649, 0.0624, 0.5649], [0.5649, 0.5649, 0.0624], [0.8148, 0.8148, 0.8148]],
  "e_form_ev_per_atom": -0.26
}

***

{
  "formula": "CuRhS3",
  "functional": "PBE",
  "state": "relaxed",
  "cell": [[3.3452, 1.9314, 2.8528], [-3.3452, 1.9314, 2.8528], [0.0000, -3.8627, 2.8528]],
  "species": ["Cu", "Rh", "S", "S", "S"],
  "fractional_positions": [[0.0000, 0.0000, 0.0000], [0.6313, 0.6313, 0.6313], [0.1687, 0.6975, 0.6975], [0.6975, 0.1687, 0.6975], [0.6975, 0.6975, 0.1687]],
  "relative_energy_ev_per_atom": 0.000,
  "e_form_raw_ev_per_atom": 0.25
}

***

Total magnetization per entry: 0.000, 0.000, 5.314, 0.000 μB/f.u.